Version w
Below is a relaxed structure of NaMg3In6, with properties calculated at the PBE-GGA level.

Lattice parameters (Å, degrees): 8.246 8.326 8.326 115.66 90.00 90.00
Sites, in units of the cell vectors:
In  0.169  0.728  0.272
In  0.304  0.977  0.023
In  0.598  0.684  0.780
In  0.098  0.780  0.684
In  0.804  0.023  0.977
In  0.598  0.220  0.316
In  0.772  0.828  0.535
In  0.098  0.316  0.220
In  0.669  0.272  0.728
In  0.772  0.465  0.172
In  0.272  0.172  0.465
In  0.272  0.535  0.828
Na  0.048  0.204  0.796
Na  0.548  0.796  0.204
Mg  0.386  0.547  0.453
Mg  0.420  0.339  0.031
Mg  0.920  0.661  0.969
Mg  0.920  0.031  0.339
Mg  0.420  0.969  0.661
Mg  0.886  0.453  0.547

Magnetization in Bohr magnetons per cell: 0.00
Crystal system: orthorhombic

***

Version x
Below is a relaxed structure of NaMg3In6, with properties calculated at the PBE-GGA level.

Lattice parameters (Å, degrees): 7.580 8.694 8.369 108.83 90.00 90.00
Sites, in units of the cell vectors:
In  0.139  0.284  0.817
In  0.192  0.662  0.917
In  0.361  0.784  0.317
In  0.861  0.716  0.183
In  0.308  0.162  0.417
In  0.639  0.216  0.683
In  0.692  0.838  0.583
In  0.438  0.180  0.067
In  0.562  0.820  0.933
In  0.062  0.680  0.567
In  0.938  0.320  0.433
In  0.808  0.338  0.083
Mg  0.000  0.000  0.500
Mg  0.668  0.043  0.291
Mg  0.500  0.500  0.000
Mg  0.832  0.543  0.791
Mg  0.168  0.457  0.209
Mg  0.332  0.957  0.709
Na  0.000  0.000  0.000
Na  0.500  0.500  0.500

Magnetization in Bohr magnetons per cell: 0.00
Crystal system: monoclinic

***

Stability, lowest: version w

***

Version w
Below is a relaxed structure of NaMg3In3, with properties calculated at the PBE-GGA level.

Lattice parameters (Å, degrees): 5.234 8.654 8.654 120.00 90.00 90.00
Sites, in units of the cell vectors:
Na  0.250  0.667  0.333
Na  0.750  0.333  0.667
In  0.750  0.913  0.378
In  0.750  0.465  0.087
In  0.250  0.087  0.622
In  0.250  0.535  0.913
In  0.250  0.378  0.465
In  0.750  0.622  0.535
Mg  0.750  0.202  0.229
Mg  0.750  0.026  0.798
Mg  0.750  0.771  0.974
Mg  0.250  0.229  0.026
Mg  0.250  0.974  0.202
Mg  0.250  0.798  0.771

Magnetization in Bohr magnetons per cell: 0.00
Crystal system: hexagonal

***

Version x
Below is a relaxed structure of NaMg3In3, with properties calculated at the PBE-GGA level.

Lattice parameters (Å, degrees): 8.085 8.085 8.085 90.00 90.00 90.00
Sites, in units of the cell vectors:
Na  0.000  0.000  0.000
Na  0.500  0.500  0.500
Mg  0.000  0.250  0.500
Mg  0.250  0.500  0.000
Mg  0.500  0.000  0.250
Mg  0.500  0.000  0.750
Mg  0.000  0.750  0.500
Mg  0.750  0.500  0.000
In  0.000  0.500  0.750
In  0.000  0.500  0.250
In  0.750  0.000  0.500
In  0.500  0.250  0.000
In  0.250  0.000  0.500
In  0.500  0.750  0.000

Magnetization in Bohr magnetons per cell: 0.00
Crystal system: cubic

***

Stability, lowest: version x

***

Version w
Below is a relaxed structure of NaMg3In2, with properties calculated at the PBE-GGA level.

Lattice parameters (Å, degrees): 5.067 7.622 9.599 116.06 90.00 109.41
Sites, in units of the cell vectors:
Na  0.146  0.291  0.026
Na  0.854  0.709  0.974
Mg  0.701  0.402  0.523
Mg  0.051  0.103  0.358
Mg  0.949  0.897  0.642
Mg  0.579  0.159  0.693
Mg  0.421  0.841  0.307
Mg  0.299  0.598  0.477
In  0.563  0.126  0.169
In  0.200  0.401  0.714
In  0.800  0.599  0.286
In  0.437  0.874  0.831

Magnetization in Bohr magnetons per cell: 0.00
Crystal system: monoclinic

***

Version x
Below is a relaxed structure of NaMg3In2, with properties calculated at the PBE-GGA level.

Lattice parameters (Å, degrees): 5.043 7.675 8.864 115.66 106.53 90.00
Sites, in units of the cell vectors:
Mg  0.177  0.927  0.354
Mg  0.500  0.250  0.000
Mg  0.823  0.573  0.646
Mg  0.500  0.750  0.000
Mg  0.177  0.427  0.354
Mg  0.823  0.073  0.646
Na  0.000  0.500  0.000
Na  0.000  0.000  0.000
In  0.658  0.158  0.317
In  0.342  0.342  0.683
In  0.658  0.658  0.317
In  0.342  0.842  0.683

Magnetization in Bohr magnetons per cell: 0.00
Crystal system: orthorhombic

***

Stability, lowest: version x